Here is a geometry-optimized FeTeSe2 structure from Alexandria. Energies are from PBE-GGA.

Output
For the raw total energy, the calculation gives -4.055 eV per atom. The calculation puts the theoretical density at 7048 kg/m3. Its spin magnetization is 2.8 Bohr magnetons per cell.

Cell lengths 4.846, 4.846, 4.846 Å; angles 120.02, 120.02, 89.96 degrees
Site moments in Bohr magnetons follow the coordinates.
Element x y z (fractional)
Se: 0.000 0.000 0.000  -0.01
Fe: 0.750 0.250 0.500  3.02
Te: 0.500 0.500 0.000  -0.07
Se: 0.250 0.750 0.500  -0.06

Here is a geometry-optimized TbPmGa structure from Alexandria. Energies are from PBE-GGA.

Output
The energy above the most stable polymorph in this dataset is 1 meV/atom. The calculated formation energy is -0.38 eV/atom. The calculation puts the theoretical density at 7655 kg/m3. Its spin magnetization is 0.0 Bohr magnetons per cell.

Cell lengths 3.759, 8.642, 8.642 Å; angles 120.00, 90.00, 90.00 degrees
Element x y z (fractional)
Pm: 0.500 0.000 0.608
Tb: 0.000 0.278 0.000
Pm: 0.500 0.608 0.000
Tb: 0.000 0.722 0.722
Ga: 0.500 0.000 0.000
Ga: 0.000 0.333 0.667
Ga: 0.000 0.667 0.333
Tb: 0.000 0.000 0.278
Pm: 0.500 0.392 0.392

Here is a geometry-optimized TmAlCl structure from Alexandria. Energies are from PBE-GGA.

Output
For the raw total energy, the calculation gives -4.416 eV per atom. The calculation puts the theoretical density at 4905 kg/m3. Its spin magnetization is 0.0 Bohr magnetons per cell.

Cell lengths 3.786, 3.783, 12.786 Å; angles 87.94, 81.49, 59.98 degrees
Element x y z (fractional)
Al: 0.367 0.824 0.442
Cl: 0.205 0.440 0.151
Tm: 0.795 0.129 0.282
Cl: 0.795 0.560 0.849
Al: 0.633 0.176 0.558
Tm: 0.205 0.871 0.718

Here is a geometry-optimized Ho3Pt2 structure from Alexandria. Energies are from PBE-GGA.

Output
The energy above the most stable polymorph in this dataset is 0 meV/atom. The calculated formation energy is -1.08 eV/atom. The calculation puts the theoretical density at 11945 kg/m3. Its spin magnetization is 0.0 Bohr magnetons per cell.

Cell lengths 3.880, 11.411, 11.115 Å; angles 90.00, 90.00, 90.00 degrees
Element x y z (fractional)
Ho: 0.750 0.061 0.621
Ho: 0.250 0.869 0.052
Ho: 0.750 0.439 0.121
Ho: 0.750 0.692 0.282
Pt: 0.250 0.317 0.983
Pt: 0.250 0.993 0.815
Pt: 0.750 0.683 0.017
Ho: 0.250 0.192 0.218
Ho: 0.250 0.561 0.879
Ho: 0.750 0.808 0.782
Pt: 0.750 0.007 0.185
Pt: 0.750 0.817 0.517
Pt: 0.250 0.183 0.483
Ho: 0.750 0.131 0.948
Ho: 0.250 0.939 0.379
Ho: 0.250 0.631 0.552
Ho: 0.250 0.308 0.718
Pt: 0.750 0.493 0.685
Pt: 0.250 0.507 0.315
Ho: 0.750 0.369 0.448

Here is a geometry-optimized Pm3B2AsRh9 structure from Alexandria. Energies are from PBE-GGA.

Output
The calculated formation energy is -0.68 eV/atom. The calculation puts the theoretical density at 9736 kg/m3. Its spin magnetization is 0.0 Bohr magnetons per cell.

Cell lengths 6.156, 6.156, 7.575 Å; angles 90.00, 90.00, 120.00 degrees
Element x y z (fractional)
Rh: 0.178 0.356 0.316
Pm: 0.667 0.333 0.332
Rh: 0.000 0.500 0.000
Rh: 0.356 0.178 0.684
Rh: 0.644 0.822 0.316
Pm: 0.000 0.000 0.000
Pm: 0.333 0.667 0.668
Rh: 0.500 0.000 0.000
Rh: 0.178 0.822 0.316
As: 0.000 0.000 0.500
B: 0.333 0.667 0.145
B: 0.667 0.333 0.855
Rh: 0.822 0.644 0.684
Rh: 0.500 0.500 0.000
Rh: 0.822 0.178 0.684

Here is a geometry-optimized HoTm2Se structure from Alexandria. Energies are from PBE-GGA.

Output
The energy above the most stable polymorph in this dataset is 291 meV/atom. The calculation puts the theoretical density at 8166 kg/m3. Its spin magnetization is 0.5 Bohr magnetons per cell.

Cell lengths 3.638, 3.638, 10.531 Å; angles 80.05, 80.05, 60.00 degrees
Site moments in Bohr magnetons follow the coordinates.
Element x y z (fractional)
Tm: 0.108 0.108 0.676  0.04
Tm: 0.892 0.892 0.324  0.04
Ho: 0.000 0.000 0.000  0.26
Se: 0.500 0.500 0.500  0.00

Here is a geometry-optimized Ti2Ge2Rh3 structure from Alexandria. Energies are from PBE-GGA.

Output
The calculated formation energy is -0.51 eV/atom. The calculation puts the theoretical density at 8492 kg/m3. Its spin magnetization is 1.3 Bohr magnetons per cell.

Cell lengths 4.078, 4.600, 7.207 Å; angles 101.63, 106.42, 116.31 degrees
Site moments in Bohr magnetons follow the coordinates.
Element x y z (fractional)
Ge: 0.808 0.392 0.224  -0.01
Ti: 0.725 0.849 0.601  0.51
Rh: 0.472 0.742 0.202  0.04
Rh: 0.528 0.258 0.798  0.04
Rh: 0.000 0.000 0.000  -0.01
Ge: 0.192 0.608 0.776  -0.01
Ti: 0.275 0.151 0.399  0.51

Here is a geometry-optimized Ga3AsRu structure from Alexandria. Energies are from PBE-GGA.

Output
The energy above the most stable polymorph in this dataset is 772 meV/atom. The calculated formation energy is 1.06 eV/atom. The calculation puts the theoretical density at 5799 kg/m3. Its spin magnetization is 1.8 Bohr magnetons per cell.

Cell lengths 4.796, 4.796, 4.796 Å; angles 90.00, 90.00, 90.00 degrees
Site moments in Bohr magnetons follow the coordinates.
Element x y z (fractional)
Ru: 0.500 0.500 0.500  1.83
As: 0.000 0.000 0.000  -0.01
Ga: 0.000 0.500 0.000  -0.02
Ga: 0.000 0.000 0.500  -0.02
Ga: 0.500 0.000 0.000  -0.03

Here is a geometry-optimized Cd2WN2 structure from Alexandria. Energies are from PBE-GGA.

Output
The energy above the most stable polymorph in this dataset is 148 meV/atom. The calculation puts the theoretical density at 8650 kg/m3. Its spin magnetization is 1.0 Bohr magnetons per cell.

Cell lengths 5.690, 5.690, 4.785 Å; angles 53.51, 53.51, 90.00 degrees
Site moments in Bohr magnetons follow the coordinates.
Element x y z (fractional)
Cd: 0.750 0.250 0.500  0.00
Cd: 0.250 0.750 0.500  0.00
N: 0.380 0.380 0.239  -0.02
W: 0.000 0.000 0.000  0.80
N: 0.620 0.620 0.761  -0.02

Here is a geometry-optimized NiGeRu3 structure from Alexandria. Energies are from PBE-GGA.

Output
The energy above the most stable polymorph in this dataset is 17 meV/atom. The calculated formation energy is 1.41 eV/atom. The calculation puts the theoretical density at 8074 kg/m3. Its spin magnetization is 3.6 Bohr magnetons per cell.

Cell lengths 4.471, 4.471, 4.471 Å; angles 90.00, 90.00, 90.00 degrees
Site moments in Bohr magnetons follow the coordinates.
Element x y z (fractional)
Ru: 0.000 0.000 0.500  0.86
Ge: 0.000 0.000 0.000  -0.01
Ru: 0.500 0.000 0.000  0.76
Ru: 0.000 0.500 0.000  0.83
Ni: 0.500 0.500 0.500  1.15

Here is a geometry-optimized Ba4Tl2Cl structure from Alexandria. Energies are from PBE-GGA.

Output
For the raw total energy, the calculation gives -2.800 eV per atom. The calculation puts the theoretical density at 5423 kg/m3. Its spin magnetization is 0.6 Bohr magnetons per cell.

Cell lengths 4.717, 8.069, 8.873 Å; angles 74.12, 74.59, 73.01 degrees
Element x y z (fractional)
Tl: 0.380 0.558 0.682
Ba: 0.329 0.258 0.085
Cl: 0.000 0.000 0.000
Ba: 0.086 0.214 0.614
Ba: 0.671 0.742 0.915
Ba: 0.914 0.786 0.386
Tl: 0.620 0.442 0.318

Here is a geometry-optimized Pu3PSe2 structure from Alexandria. Energies are from PBE-GGA.

Output
The energy above the most stable polymorph in this dataset is 0 meV/atom. The calculation puts the theoretical density at 10367 kg/m3. Its spin magnetization is 33.2 Bohr magnetons per cell.

Cell lengths 7.114, 7.124, 7.124 Å; angles 119.89, 99.64, 99.64 degrees
Site moments in Bohr magnetons follow the coordinates.
Element x y z (fractional)
P: 0.750 0.413 0.587  -0.15
Pu: 0.002 0.186 0.344  5.33
Pu: 0.502 0.344 0.186  5.33
Pu: 0.000 0.500 0.000  5.31
Se: 0.750 0.083 0.917  -0.11
Se: 0.250 0.246 0.754  -0.11
P: 0.250 0.587 0.413  -0.15
Se: 0.750 0.754 0.246  -0.11
Pu: 0.500 0.000 0.500  5.31
Se: 0.250 0.917 0.083  -0.11
Pu: 0.498 0.656 0.814  5.33
Pu: 0.998 0.814 0.656  5.33

Repeat the fourth record exactly.
Here is a geometry-optimized Ho3Pt2 structure from Alexandria. Energies are from PBE-GGA.

Output
The energy above the most stable polymorph in this dataset is 0 meV/atom. The calculated formation energy is -1.08 eV/atom. The calculation puts the theoretical density at 11945 kg/m3. Its spin magnetization is 0.0 Bohr magnetons per cell.

Cell lengths 3.880, 11.411, 11.115 Å; angles 90.00, 90.00, 90.00 degrees
Element x y z (fractional)
Ho: 0.750 0.061 0.621
Ho: 0.250 0.869 0.052
Ho: 0.750 0.439 0.121
Ho: 0.750 0.692 0.282
Pt: 0.250 0.317 0.983
Pt: 0.250 0.993 0.815
Pt: 0.750 0.683 0.017
Ho: 0.250 0.192 0.218
Ho: 0.250 0.561 0.879
Ho: 0.750 0.808 0.782
Pt: 0.750 0.007 0.185
Pt: 0.750 0.817 0.517
Pt: 0.250 0.183 0.483
Ho: 0.750 0.131 0.948
Ho: 0.250 0.939 0.379
Ho: 0.250 0.631 0.552
Ho: 0.250 0.308 0.718
Pt: 0.750 0.493 0.685
Pt: 0.250 0.507 0.315
Ho: 0.750 0.369 0.448

spin magnetization of number 9 (Cd2WN2)?
1.0 Bohr magnetons per cell

theoretical density of number 2 (TbPmGa)?
7655 kg/m3